Record 1
4
Lattice="2.906 0.000 0.000 0.000 3.876 0.000 0.000 0.000 5.958" Properties=species:S:1:pos:R:3 comment="SbIr2W | the Alexandria database | PBE-GGA | relaxed" total_energy_ev_per_atom=-8.4352 space_group="Pmm2, No. 25" total_magnetization_mub_per_atom=0.0000 pbc="T T T"
Sb 0.000 0.000 0.000
Ir 0.000 0.000 3.018
Ir 1.453 1.938 4.575
W 1.453 1.938 1.856

Record 2
12
Lattice="5.741 0.000 0.000 0.000 5.741 0.000 0.000 0.000 5.741" Properties=species:S:1:pos:R:3 comment="ScH | the Alexandria database | PBE-GGA | relaxed" total_energy_ev_per_atom=-4.9458 space_group="Pm-3n, No. 223" total_magnetization_mub_per_atom=0.3204 pbc="T T T"
Sc 0.000 1.435 2.871
Sc 0.000 4.306 2.871
Sc 1.435 2.871 0.000
Sc 2.871 0.000 1.435
Sc 2.871 0.000 4.306
Sc 4.306 2.871 0.000
H 0.000 2.871 1.435
H 0.000 2.871 4.306
H 1.435 0.000 2.871
H 2.871 1.435 0.000
H 2.871 4.306 0.000
H 4.306 0.000 2.871